Record 1
The following is a GGA-PBE calculation of crystalline LaCdGa at its relaxed geometry, from Alexandria via LeMat-Bulk.

Cell and atoms, written as POSCAR:
```
LaCdGa
1.0
3.550 0.000 0.000
0.000 3.550 0.000
0.000 0.000 12.012
La Cd Ga
2 2 2
Direct
0.000 0.000 0.000
0.500 0.500 0.500
0.000 0.000 0.696
0.500 0.500 0.196
0.000 0.000 0.328
0.500 0.500 0.828
```

Properties
N(E_F): 4.7 states/eV per cell
theoretical density: 7.0 g/cm³
energy of formation from the pure elements: -0.32 eV per atom


Record 2
The following is a GGA-PBE calculation of crystalline TbPr14Sc at its relaxed geometry, from Alexandria via LeMat-Bulk.

Cell and atoms, written as POSCAR:
```
TbPr14Sc
1.0
7.352 0.000 0.000
0.000 7.352 0.000
0.000 0.000 10.404
Tb Pr Sc
1 14 1
Direct
0.000 0.000 0.000
0.000 0.000 0.500
0.000 0.500 0.000
0.000 0.500 0.500
0.252 0.252 0.245
0.252 0.252 0.755
0.252 0.748 0.245
0.252 0.748 0.755
0.500 0.000 0.000
0.500 0.000 0.500
0.500 0.500 0.500
0.748 0.252 0.245
0.748 0.252 0.755
0.748 0.748 0.245
0.748 0.748 0.755
0.500 0.500 0.000
```

Properties
N(E_F): 24.1 states/eV per cell
theoretical density: 6.4 g/cm³
energy of formation from the pure elements: 0.02 eV per atom